#one
DFT (PBE) results for a relaxed structure of Co2Re2Ag.

Summary:
- crystal system = tetragonal
- calculated volume (Å³/cell) = 138

Cell: 7.2543 7.2543 2.6289 Å, 90.00 90.00 90.00°
Atoms (fractional coordinates):
Co 0.1211 0.3789 0.0000
Co 0.3789 0.8789 0.0000
Co 0.6211 0.1211 0.0000
Co 0.8789 0.6211 0.0000
Re 0.1700 0.6700 0.5000
Re 0.3300 0.1700 0.5000
Re 0.6700 0.8300 0.5000
Re 0.8300 0.3300 0.5000
Ag 0.0000 0.0000 0.0000
Ag 0.5000 0.5000 0.0000


#two
DFT (PBE) results for a relaxed structure of Co2Re2Ag.

Summary:
- crystal system = tetragonal
- calculated volume (Å³/cell) = 142

Cell: 7.3888 7.3888 2.6091 Å, 90.00 90.00 90.00°
Atoms (fractional coordinates):
Co 0.1666 0.3334 0.0000
Co 0.3334 0.8334 0.0000
Co 0.6666 0.1666 0.0000
Co 0.8334 0.6666 0.0000
Re 0.1231 0.6231 0.5000
Re 0.3769 0.1231 0.5000
Re 0.6231 0.8769 0.5000
Re 0.8769 0.3769 0.5000
Ag 0.0000 0.0000 0.5000
Ag 0.5000 0.5000 0.5000


Which of them is the most stable? Correct choice: #one.


#one
DFT (PBE) results for a relaxed structure of Co2ReAg.

Summary:
- crystal system = orthorhombic
- calculated volume (Å³/cell) = 54

Cell: 2.6415 3.7813 5.4551 Å, 90.00 90.00 90.00°
Atoms (fractional coordinates):
Co 0.0000 0.0000 0.0000
Co 0.5000 0.5000 0.2387
Re 0.0000 0.0000 0.4327
Ag 0.5000 0.5000 0.7436


#two
DFT (PBE) results for a relaxed structure of Co2ReAg.

Summary:
- crystal system = monoclinic
- calculated volume (Å³/cell) = 53

Cell: 4.8009 4.8009 4.5350 Å, 105.06 105.06 32.02°
Atoms (fractional coordinates):
Co 0.0000 0.0000 0.0000
Co 0.7116 0.7116 0.2949
Re 0.2529 0.2529 0.8331
Ag 0.4727 0.4727 0.4890


#three
DFT (PBE) results for a relaxed structure of Co2ReAg.

Summary:
- crystal system = orthorhombic
- calculated volume (Å³/cell) = 54

Cell: 5.2928 5.2928 5.2928 Å, 150.93 130.60 58.35°
Atoms (fractional coordinates):
Co 0.0000 0.0000 0.0000
Co 0.7873 0.2873 0.5000
Re 0.2316 0.7316 0.5000
Ag 0.5185 0.5185 0.0000


#four
DFT (PBE) results for a relaxed structure of Co2ReAg.

Summary:
- crystal system = tetragonal
- calculated volume (Å³/cell) = 53

Cell: 4.7464 4.7464 4.7464 Å, 135.04 135.04 65.47°
Atoms (fractional coordinates):
Co 0.0000 0.0000 0.0000
Co 0.7500 0.2500 0.5000
Re 0.2500 0.7500 0.5000
Ag 0.5000 0.5000 0.0000


Which of them is the most stable? Correct choice: #two.